No. 1
A plane-wave DFT calculation with PBE was carried out for a relaxed structure of Pm3Si4Ir.

Values from the calculation:
As for the formation energy without anion corrections: -0.661 eV per atom. The value obtained for the total magnetic moment is 0.00 Bohr magnetons per cell. The uncorrected energy comes out at -6.26 eV/atom. For the volume, the calculation gives 333.0 Å³ per cell.

Lattice parameters (Å, degrees): 4.561 18.334 3.982 90.00 90.00 90.00
Space group Cmmm (No. 65)
Asymmetric unit:
Pm 0.000 0.000 0.000 x2
Pm 0.000 0.158 0.500 x4
Si 0.000 0.278 0.000 x4
Si 0.000 0.407 0.000 x4
Ir 0.000 0.500 0.500 x2



No. 2
A plane-wave DFT calculation with PBE was carried out for a relaxed structure of SrAcGePb.

Values from the calculation:
The value obtained for the total magnetic moment is 0.00 Bohr magnetons per cell. For the formation energy, the calculation gives -0.43 eV/atom. The uncorrected energy comes out at -3.96 eV/atom. For the volume, the calculation gives 521.4 Å³ per cell.

Lattice parameters (Å, degrees): 8.049 8.049 8.049 90.00 90.00 90.00
Space group F-43m (No. 216)
Asymmetric unit:
Sr 0.000 0.000 0.000 x4
Ac 0.000 0.000 0.500 x4
Ge 0.250 0.250 0.750 x4
Pb 0.250 0.250 0.250 x4



No. 3
A plane-wave DFT calculation with PBE was carried out for a relaxed structure of LiCdIr2.

Values from the calculation:
The value obtained for the total magnetic moment is 0.00 Bohr magnetons per cell. For the formation energy, the calculation gives 0.11 eV/atom. The uncorrected energy comes out at -5.03 eV/atom. For the volume, the calculation gives 123.7 Å³ per cell.

Lattice parameters (Å, degrees): 3.784 3.784 8.641 90.00 90.00 90.00
Space group I4/mmm (No. 139)
Asymmetric unit:
Li 0.000 0.000 0.000 x2
Cd 0.000 0.000 0.500 x2
Ir 0.000 0.500 0.250 x4



No. 4
A plane-wave DFT calculation with PBE was carried out for a relaxed structure of Ca2Zr2Pt.

Values from the calculation:
The value obtained for the total magnetic moment is 0.00 Bohr magnetons per cell. For the formation energy, the calculation gives 0.53 eV/atom. The uncorrected energy comes out at -4.90 eV/atom. For the volume, the calculation gives 253.6 Å³ per cell.

Lattice parameters (Å, degrees): 3.950 3.950 16.255 90.00 90.00 90.00
Space group I4/mmm (No. 139)
Asymmetric unit:
Ca 0.000 0.500 0.250 x4
Zr 0.000 0.000 0.077 x4
Pt 0.000 0.000 0.500 x2